No. 1
First-principles (PBE-GGA) data for a relaxed structure of CeRuC2, as listed in Alexandria via LeMat-Bulk.

ΔH_f (0 K) = -183 meV per atom

Cell lengths 3.628, 4.765, 6.471 Å; angles 90.00, 90.00, 90.00 degrees
Space group Amm2 (No. 38)
Inequivalent atoms, fractional coordinates:
Ce: 0.000 0.000 0.000
Ru: 0.500 0.000 0.375
C: 0.500 0.145 0.691

---

No. 2
First-principles (PBE-GGA) data for a relaxed structure of Ce2Ru4C, as listed in Alexandria via LeMat-Bulk.

ΔH_f (0 K) = 471 meV per atom

Cell lengths 7.381, 11.723, 3.408 Å; angles 90.00, 90.00, 90.00 degrees
Space group Cmmm (No. 65)
Inequivalent atoms, fractional coordinates:
Ce: 0.250 0.250 0.000
Ru: 0.000 0.171 0.500
Ru: 0.175 0.000 0.000
C: 0.000 0.000 0.500

---

No. 3
First-principles (PBE-GGA) data for a relaxed structure of CeRu2C, as listed in Alexandria via LeMat-Bulk.

ΔH_f (0 K) = 300 meV per atom
Energy relative to the lowest polymorph listed for this composition = 1.07 eV/f.u.

Cell lengths 3.0265, 3.0265, 22.7165 Å; angles 90.00, 90.00, 120.00 degrees
Space group R-3m (No. 166, hexagonal axes)
Inequivalent atoms, fractional coordinates:
Ce: 0.0000 0.0000 0.0000
Ru: 0.0000 0.0000 0.2170
C: 0.0000 0.0000 0.5000

---

No. 4
First-principles (PBE-GGA) data for a relaxed structure of Ce5Sb2RuC, as listed in Alexandria via LeMat-Bulk.

E_form (uncorrected) = -0.49 eV/atom

Cell lengths 4.684, 4.684, 11.064 Å; angles 90.00, 90.00, 90.00 degrees
Space group P4/mmm (No. 123)
Inequivalent atoms, fractional coordinates:
Ce: 0.000 0.000 0.000
Ce: 0.000 0.500 0.500
Ce: 0.500 0.500 0.229
Sb: 0.000 0.000 0.289
Ru: 0.500 0.500 0.000
C: 0.500 0.500 0.500

---

No. 5
First-principles (PBE-GGA) data for a relaxed structure of CeSbRu2C, as listed in Alexandria via LeMat-Bulk.

E_form (uncorrected) = -0.39 eV/atom

Cell lengths 4.117, 11.690, 7.474 Å; angles 90.00, 90.00, 90.00 degrees
Space group Cmcm (No. 63)
Inequivalent atoms, fractional coordinates:
Ce: 0.000 0.050 0.250
Sb: 0.000 0.227 0.750
Ru: 0.000 0.345 0.052
C: 0.000 0.500 0.000

---

No. 6
First-principles (PBE-GGA) data for a relaxed structure of CeSiRuC, as listed in Alexandria via LeMat-Bulk.

E_form (uncorrected) = -0.48 eV/atom

Cell lengths 3.928, 3.928, 8.453 Å; angles 90.00, 90.00, 90.00 degrees
Space group P4/nmm (No. 129, origin choice 2)
Inequivalent atoms, fractional coordinates:
Ce: 0.250 0.250 0.155
Si: 0.250 0.250 0.659
Ru: 0.250 0.750 0.500
C: 0.250 0.250 0.877

---

No. 7
First-principles (PBE-GGA) data for a relaxed structure of Ce2Sn2Ru4C, as listed in Alexandria via LeMat-Bulk.

ΔH_f (0 K) = -104 meV per atom

Cell lengths 6.238, 6.238, 8.161 Å; angles 90.00, 90.00, 90.00 degrees
Space group I4/mmm (No. 139)
Inequivalent atoms, fractional coordinates:
Ce: 0.000 0.000 0.212
Sn: 0.000 0.500 0.250
Ru: 0.239 0.239 0.500
C: 0.000 0.000 0.500

---

No. 8
First-principles (PBE-GGA) data for a relaxed structure of Ce6Sn2RuC, as listed in Alexandria via LeMat-Bulk.

ΔH_f (0 K) = -377 meV per atom

Cell lengths 5.123, 5.123, 10.361 Å; angles 90.00, 90.00, 90.00 degrees
Space group P4/mmm (No. 123)
Inequivalent atoms, fractional coordinates:
Ce: 0.000 0.000 0.230
Ce: 0.000 0.500 0.000
Ce: 0.000 0.500 0.500
Sn: 0.500 0.500 0.242
Ru: 0.000 0.000 0.500
C: 0.000 0.000 0.000

---

No. 9
First-principles (PBE-GGA) data for a relaxed structure of CeTa2RuC4, as listed in Alexandria via LeMat-Bulk.

ΔH_f (0 K) = -214 meV per atom

Cell lengths 3.290, 11.287, 11.099 Å; angles 90.00, 90.00, 90.00 degrees
Space group Cmcm (No. 63)
Inequivalent atoms, fractional coordinates:
Ce: 0.000 0.106 0.250
Ta: 0.000 0.371 0.041
Ru: 0.000 0.158 0.750
C: 0.000 0.000 0.000
C: 0.000 0.266 0.612
C: 0.000 0.437 0.250

---

No. 10
First-principles (PBE-GGA) data for a relaxed structure of CeU2RuC4, as listed in Alexandria via LeMat-Bulk.

ΔH_f (0 K) = -78 meV per atom

Cell lengths 3.512, 11.687, 11.636 Å; angles 90.00, 90.00, 90.00 degrees
Space group Cmcm (No. 63)
Inequivalent atoms, fractional coordinates:
Ce: 0.000 0.106 0.250
U: 0.000 0.370 0.050
Ru: 0.000 0.153 0.750
C: 0.000 0.000 0.000
C: 0.000 0.261 0.614
C: 0.000 0.448 0.250

---

No. 11
First-principles (PBE-GGA) data for a relaxed structure of Ce2CS2, as listed in Alexandria via LeMat-Bulk.

E_form (uncorrected) = -1.24 eV/atom

Cell lengths 4.015, 14.999, 7.056 Å; angles 90.00, 90.00, 90.00 degrees
Space group Cmc2_1 (No. 36)
Inequivalent atoms, fractional coordinates:
Ce: 0.000 0.052 0.000
Ce: 0.000 0.336 0.901
C: 0.000 0.093 0.333
S: 0.000 0.298 0.514
S: 0.000 0.456 0.196

---

No. 12
First-principles (PBE-GGA) data for a relaxed structure of CeCS, as listed in Alexandria via LeMat-Bulk.

E_form (uncorrected) = -0.25 eV/atom

Cell lengths 3.677, 17.980, 3.681 Å; angles 90.00, 90.00, 90.00 degrees
Space group Cmcm (No. 63)
Inequivalent atoms, fractional coordinates:
Ce: 0.000 0.159 0.250
C: 0.000 0.250 0.750
S: 0.000 0.404 0.250

---

Number 1: E -8.597 eV per atom. Number 2: E -7.842 eV per atom. Number 3: E -8.128 eV per atom. Number 4: E -6.758 eV per atom. Number 5: E -7.953 eV per atom. Number 6: E -7.942 eV per atom. Number 7: E -7.460 eV per atom. Number 8: E -6.588 eV per atom. Number 9: E -9.690 eV per atom. Number 10: E -9.414 eV per atom. Number 11: E -7.105 eV per atom. Number 12: E -6.679 eV per atom.